No. 1
First-principles (PBEsol) data for a relaxed structure of Mg2Ga2Sn, as listed in Alexandria.

Summary:
Its density of states at the Fermi level is 3.30 states/eV per cell. The formation energy is -0.12 eV per atom. The magnetic moment comes out at 0.00 μB per formula unit. The distance to the lowest polymorph of the same formula comes out at 0.00 eV per formula unit.

abc: 8.0049 8.0049 3.1694
angles: 90.00 90.00 90.00
With the nearest neighbours (Å) after each atom.
Fractional coordinates of all 10 atoms:
Mg (0.1808, 0.3192, 0.0000)  6 Ga 2.78-2.91
Mg (0.3192, 0.8192, 0.0000)  6 Ga 2.78-2.91
Mg (0.6808, 0.1808, 0.0000)  6 Ga 2.78-2.91
Mg (0.8192, 0.6808, 0.0000)  6 Ga 2.78-2.91
Ga (0.1170, 0.6170, 0.5000)  1 Ga 2.65, 6 Mg 2.78-2.91
Ga (0.3830, 0.1170, 0.5000)  1 Ga 2.65, 6 Mg 2.78-2.91
Ga (0.6170, 0.8830, 0.5000)  1 Ga 2.65, 6 Mg 2.78-2.91
Ga (0.8830, 0.3830, 0.5000)  1 Ga 2.65, 6 Mg 2.78-2.91
Sn (0.0000, 0.0000, 0.5000)  2 Sn 3.17, 4 Ga 3.21, 8 Mg 3.34
Sn (0.5000, 0.5000, 0.5000)  2 Sn 3.17, 4 Ga 3.21, 8 Mg 3.34

---

No. 2
First-principles (PBEsol) data for a relaxed structure of Mg2GaSn2, as listed in Alexandria.

Summary:
Its density of states at the Fermi level is 4.03 states/eV per cell. The formation energy is -0.03 eV per atom. The magnetic moment comes out at 0.00 μB per formula unit.

abc: 8.6480 8.6480 3.1425
angles: 90.00 90.00 90.00
With the nearest neighbours (Å) after each atom.
Fractional coordinates of all 10 atoms:
Mg (0.1346, 0.3654, 0.0000)  6 Sn 2.93-3.03, 2 Mg 3.14
Mg (0.3654, 0.8654, 0.0000)  6 Sn 2.93-3.03, 2 Mg 3.14
Mg (0.6346, 0.1346, 0.0000)  6 Sn 2.93-3.03, 2 Mg 3.14
Mg (0.8654, 0.6346, 0.0000)  6 Sn 2.93-3.03, 2 Mg 3.14
Ga (0.0000, 0.0000, 0.5000)  2 Ga 3.14, 4 Sn 3.24
Ga (0.5000, 0.5000, 0.5000)  2 Ga 3.14, 4 Sn 3.24
Sn (0.1634, 0.6634, 0.5000)  6 Mg 2.93-3.03, 2 Sn 3.14, 2 Ga 3.24
Sn (0.3366, 0.1634, 0.5000)  6 Mg 2.93-3.03, 2 Sn 3.14, 2 Ga 3.24
Sn (0.6634, 0.8366, 0.5000)  6 Mg 2.93-3.03, 2 Sn 3.14, 2 Ga 3.24
Sn (0.8366, 0.3366, 0.5000)  6 Mg 2.93-3.03, 2 Sn 3.14, 2 Ga 3.24

---

No. 3
First-principles (PBEsol) data for a relaxed structure of MgGa2Sn2, as listed in Alexandria.

Summary:
Its density of states at the Fermi level is 4.37 states/eV per cell. The formation energy is -0.03 eV per atom. The magnetic moment comes out at 0.00 μB per formula unit.

abc: 7.3543 7.3543 4.0776
angles: 90.00 90.00 90.00
With the nearest neighbours (Å) after each atom.
Fractional coordinates of all 10 atoms:
Mg (0.0000, 0.0000, 0.0000)  4 Ga 2.91
Mg (0.5000, 0.5000, 0.0000)  4 Ga 2.91
Ga (0.1252, 0.3748, 0.0000)  1 Ga 2.60, 2 Sn 2.89, 2 Mg 2.91
Ga (0.3748, 0.8748, 0.0000)  1 Ga 2.60, 2 Sn 2.89, 2 Mg 2.91
Ga (0.6252, 0.1252, 0.0000)  1 Ga 2.60, 2 Sn 2.89, 2 Mg 2.91
Ga (0.8748, 0.6252, 0.0000)  1 Ga 2.60, 2 Sn 2.89, 2 Mg 2.91
Sn (0.1782, 0.6782, 0.5000)  6 Ga 2.89-3.05
Sn (0.3218, 0.1782, 0.5000)  6 Ga 2.89-3.05
Sn (0.6782, 0.8218, 0.5000)  6 Ga 2.89-3.05
Sn (0.8218, 0.3218, 0.5000)  6 Ga 2.89-3.05

---

No. 4
First-principles (PBEsol) data for a relaxed structure of MgGa2Tc2, as listed in Alexandria.

Summary:
Its density of states at the Fermi level is 3.60 states/eV per cell. The formation energy is -0.09 eV per atom. The magnetic moment comes out at 0.00 μB per formula unit.

abc: 6.6529 6.6529 3.3330
angles: 90.00 90.00 90.00
With the nearest neighbours (Å) after each atom.
Fractional coordinates of all 10 atoms:
Mg (0.0000, 0.0000, 0.0000)  4 Ga 2.60
Mg (0.5000, 0.5000, 0.0000)  4 Ga 2.60
Ga (0.1317, 0.3683, 0.0000)  1 Ga 2.48, 6 Tc 2.52-2.60, 2 Mg 2.60
Ga (0.3683, 0.8683, 0.0000)  1 Ga 2.48, 6 Tc 2.52-2.60, 2 Mg 2.60
Ga (0.6317, 0.1317, 0.0000)  1 Ga 2.48, 6 Tc 2.52-2.60, 2 Mg 2.60
Ga (0.8683, 0.6317, 0.0000)  1 Ga 2.48, 6 Tc 2.52-2.60, 2 Mg 2.60
Tc (0.1668, 0.6668, 0.5000)  6 Ga 2.52-2.60
Tc (0.3332, 0.1668, 0.5000)  6 Ga 2.52-2.60
Tc (0.6668, 0.8332, 0.5000)  6 Ga 2.52-2.60
Tc (0.8332, 0.3332, 0.5000)  6 Ga 2.52-2.60